1.
# ScBe2PdRu

A geometry-optimized ScBe2PdRu structure (PBE, Alexandria via LeMat-Bulk).

```
ScBe2PdRu
1.0
-3.145 -3.146 1.036
3.003 -2.106 2.722
-1.326 2.425 3.340
Pd Be Sc Ru
1 2 1 1
Cartesian
-0.734 -1.414 3.549
-1.573 -1.573 0.518
1.502 -1.053 1.361
0.000 0.000 0.000
-0.663 1.212 1.670
```

Summary:
E_tot	-4.131	eV per atom
D(E_F)	4.627	states/eV/cell
M_tot	0.0	μB/cell
energy relative to the elements	1520	meV per atom

=====

2.
# Sm6Ga2Os

A geometry-optimized Sm6Ga2Os structure (PBE, Alexandria via LeMat-Bulk).

```
Sm6Ga2Os
1.0
-1.834 -4.626 0.804
-0.608 -0.981 -7.030
8.131 0.026 2.903
Ga Sm Os
2 6 1
Cartesian
1.089 -3.730 -3.183
4.600 -1.850 -0.140
2.052 -1.123 -1.784
-1.061 -2.545 -1.265
3.948 -3.956 2.057
-1.381 -3.061 -4.961
1.741 -1.625 -5.380
3.637 -4.457 -1.539
0.000 0.000 0.000
```

Summary:
E_tot	-5.260	eV per atom
D(E_F)	10.881	states/eV/cell
M_tot	0.0	μB/cell
energy relative to the elements	-194	meV per atom

=====

3.
# PmPrAs

A geometry-optimized PmPrAs structure (PBE, Alexandria via LeMat-Bulk).

```
PmPrAs
1.0
-5.021 0.789 4.451
-2.725 0.019 -3.077
1.040 -3.545 1.802
Pm Pr As
1 1 1
Cartesian
-5.210 -0.581 1.864
-1.515 -2.153 1.328
-5.002 0.785 4.434
```

Summary:
E_tot	-5.579	eV per atom
D(E_F)	2.479	states/eV/cell
M_tot	1.2	μB/cell
energy relative to the elements	-853	meV per atom

=====

4.
# AcTbInRh

A geometry-optimized AcTbInRh structure (PBE, Alexandria via LeMat-Bulk).

```
AcTbInRh
1.0
5.343 0.000 0.000
2.672 4.627 0.000
2.672 1.542 4.363
Tb Rh In Ac
1 1 1 1
Cartesian
2.672 1.542 1.091
0.000 0.000 0.000
5.343 3.085 2.181
8.015 4.627 3.272
```

Summary:
E_tot	-5.096	eV per atom
D(E_F)	3.296	states/eV/cell
M_tot	0.0	μB/cell
energy relative to the elements	-389	meV per atom